[1]
DFT (PBE) results for a relaxed CeHo4Pu3S8 crystal.

It has space group R-3m (No. 166, hexagonal axes), with a = 7.8226 Å, b = 7.8226 Å, c = 19.4304 Å, α = 90.00°, β = 90.00° and γ = 120.00°. Symmetry generates all atoms from Ce at (0.0000, 0.0000, 0.0000), Ho at (0.0000, 0.0000, 0.5000), Ho at (0.0000, 0.5000, 0.5000), Pu at (0.0000, 0.5000, 0.0000), S at (0.0000, 0.0000, 0.2482) and S at (0.0027, 0.5013, 0.2472).

The value obtained for the uncorrected formation energy is -1.9323 eV per atom. The crystal system is trigonal.

***

[2]
DFT (PBE) results for a relaxed KRb6Na2 crystal.

It has space group C2/m (No. 12), with a = 17.880 Å, b = 4.934 Å, c = 16.040 Å, α = 90.00°, β = 106.75° and γ = 90.00°. Symmetry generates all atoms from K at (0.000, 0.000, 0.000), Rb at (0.034, 0.000, 0.335), Rb at (0.170, 0.500, 0.884), Rb at (0.189, 0.500, 0.601) and Na at (0.152, 0.500, 0.181).

Its relative energy among the computed polymorphs is 4 meV/atom. The crystal system is monoclinic. The formation energy is 0.025 eV per atom.